Record 1
# PBE-GGA Dy8As4Se3, optimized geometry
# spin magnetization: 0.00 μB/f.u.
# E_form (uncorrected): -149 kJ/mol of atoms
# space-group type: C2/m (12)
data_Dy8As4Se3
_cell_length_a 8.1461
_cell_length_b 8.1461
_cell_length_c 8.1385
_cell_angle_alpha 119.87
_cell_angle_beta 119.87
_cell_angle_gamma 90.11
_space_group_name_H-M_alt 'P 1'
_space_group_IT_number 1
loop_
_space_group_symop_operation_xyz
'x,y,z'
loop_
_atom_site_label
_atom_site_fract_x
_atom_site_fract_y
_atom_site_fract_z
_atom_site_occupancy
Dy1 0.2460 0.7540 0.0000 1
Dy2 0.2475 0.2475 0.4949 1
Dy3 0.2512 0.2512 0.0084 1
Dy4 0.2524 0.7476 0.5000 1
Dy5 0.7476 0.2524 0.5000 1
Dy6 0.7488 0.7488 0.9916 1
Dy7 0.7525 0.7525 0.5051 1
Dy8 0.7540 0.2460 0.0000 1
As1 0.0000 0.0000 0.0000 1
As2 0.0000 0.5000 0.5000 1
As3 0.5000 0.0000 0.5000 1
As4 0.5000 0.5000 0.5000 1
Se1 0.0000 0.5000 0.0000 1
Se2 0.5000 0.0000 0.0000 1
Se3 0.5000 0.5000 0.0000 1

---

Record 2
# PBE-GGA Dy3As2Se2, optimized geometry
# spin magnetization: 0.00 μB/f.u.
# E_form (uncorrected): -136 kJ/mol of atoms
# space-group type: C2/m (12)
data_Dy3As2Se2
_cell_length_a 7.7766
_cell_length_b 7.7766
_cell_length_c 7.2547
_cell_angle_alpha 114.81
_cell_angle_beta 114.81
_cell_angle_gamma 30.46
_space_group_name_H-M_alt 'P 1'
_space_group_IT_number 1
loop_
_space_group_symop_operation_xyz
'x,y,z'
loop_
_atom_site_label
_atom_site_fract_x
_atom_site_fract_y
_atom_site_fract_z
_atom_site_occupancy
Dy1 0.0000 0.0000 0.0000 1
Dy2 0.2740 0.2740 0.2801 1
Dy3 0.7260 0.7260 0.7199 1
As1 0.3625 0.3625 0.9969 1
As2 0.6375 0.6375 0.0031 1
Se1 0.1241 0.1241 0.4384 1
Se2 0.8759 0.8759 0.5616 1

---

Record 3
# PBE-GGA DyAsSe, optimized geometry
# spin magnetization: 0.00 μB/f.u.
# E_form (uncorrected): -139 kJ/mol of atoms
# space-group type: Pnma (62)
data_DyAsSe
_cell_length_a 17.5442
_cell_length_b 3.9097
_cell_length_c 3.9537
_cell_angle_alpha 90.00
_cell_angle_beta 90.00
_cell_angle_gamma 90.00
_space_group_name_H-M_alt 'P 1'
_space_group_IT_number 1
loop_
_space_group_symop_operation_xyz
'x,y,z'
loop_
_atom_site_label
_atom_site_fract_x
_atom_site_fract_y
_atom_site_fract_z
_atom_site_occupancy
Dy1 0.1397 0.2500 0.2347 1
Dy2 0.3603 0.7500 0.7347 1
Dy3 0.6397 0.2500 0.2653 1
Dy4 0.8603 0.7500 0.7653 1
As1 0.0020 0.2500 0.7119 1
As2 0.4980 0.7500 0.2119 1
As3 0.5020 0.2500 0.7881 1
As4 0.9980 0.7500 0.2881 1
Se1 0.1878 0.7500 0.7371 1
Se2 0.3122 0.2500 0.2371 1
Se3 0.6878 0.7500 0.7629 1
Se4 0.8122 0.2500 0.2629 1

---

Record 4
# PBE-GGA Dy5AsSe5, optimized geometry
# spin magnetization: 0.00 μB/f.u.
# E_form (uncorrected): -176 kJ/mol of atoms
# space-group type: C2/m (12)
data_Dy5AsSe5
_cell_length_a 7.0573
_cell_length_b 7.0573
_cell_length_c 8.1399
_cell_angle_alpha 106.79
_cell_angle_beta 106.79
_cell_angle_gamma 48.27
_space_group_name_H-M_alt 'P 1'
_space_group_IT_number 1
loop_
_space_group_symop_operation_xyz
'x,y,z'
loop_
_atom_site_label
_atom_site_fract_x
_atom_site_fract_y
_atom_site_fract_z
_atom_site_occupancy
Dy1 0.0000 0.0000 0.0000 1
Dy2 0.3370 0.3370 0.6678 1
Dy3 0.3393 0.3393 0.1708 1
Dy4 0.6607 0.6607 0.8292 1
Dy5 0.6630 0.6630 0.3322 1
As1 0.5000 0.5000 0.0000 1
Se1 0.1673 0.1673 0.3346 1
Se2 0.1685 0.1685 0.8342 1
Se3 0.5000 0.5000 0.5000 1
Se4 0.8315 0.8315 0.1658 1
Se5 0.8327 0.8327 0.6654 1

---

Record 5
# PBE-GGA Dy3As2Se, optimized geometry
# spin magnetization: 0.00 μB/f.u.
# E_form (uncorrected): -161 kJ/mol of atoms
# space-group type: Immm (71)
data_Dy3As2Se
_cell_length_a 7.1067
_cell_length_b 7.1067
_cell_length_c 7.1067
_cell_angle_alpha 146.40
_cell_angle_beta 131.74
_cell_angle_gamma 60.09
_space_group_name_H-M_alt 'P 1'
_space_group_IT_number 1
loop_
_space_group_symop_operation_xyz
'x,y,z'
loop_
_atom_site_label
_atom_site_fract_x
_atom_site_fract_y
_atom_site_fract_z
_atom_site_occupancy
Dy1 0.0000 0.0000 0.0000 1
Dy2 0.3275 0.3275 0.0000 1
Dy3 0.6725 0.6725 0.0000 1
As1 0.1652 0.6652 0.5000 1
As2 0.8348 0.3348 0.5000 1
Se1 0.5000 0.0000 0.5000 1

---

Record 6
# PBE-GGA Dy2AsSe, optimized geometry
# spin magnetization: 0.00 μB/f.u.
# E_form (uncorrected): -165 kJ/mol of atoms
# space-group type: Pmmn (59)
data_Dy2AsSe
_cell_length_a 4.0985
_cell_length_b 5.7881
_cell_length_c 8.2255
_cell_angle_alpha 90.00
_cell_angle_beta 90.00
_cell_angle_gamma 90.00
_space_group_name_H-M_alt 'P 1'
_space_group_IT_number 1
loop_
_space_group_symop_operation_xyz
'x,y,z'
loop_
_atom_site_label
_atom_site_fract_x
_atom_site_fract_y
_atom_site_fract_z
_atom_site_occupancy
Dy1 0.2500 0.2500 0.1164 1
Dy2 0.2500 0.2500 0.6369 1
Dy3 0.7500 0.7500 0.3631 1
Dy4 0.7500 0.7500 0.8836 1
As1 0.2500 0.7500 0.1263 1
As2 0.7500 0.2500 0.8737 1
Se1 0.2500 0.7500 0.6218 1
Se2 0.7500 0.2500 0.3782 1

---

Record 7
# PBE-GGA Dy5AsSe4, optimized geometry
# spin magnetization: 0.00 μB/f.u.
# E_form (uncorrected): -167 kJ/mol of atoms
# space-group type: I4/mmm (139)
data_Dy5AsSe4
_cell_length_a 14.7467
_cell_length_b 14.7467
_cell_length_c 14.7467
_cell_angle_alpha 164.09
_cell_angle_beta 164.09
_cell_angle_gamma 22.57
_space_group_name_H-M_alt 'P 1'
_space_group_IT_number 1
loop_
_space_group_symop_operation_xyz
'x,y,z'
loop_
_atom_site_label
_atom_site_fract_x
_atom_site_fract_y
_atom_site_fract_z
_atom_site_occupancy
Dy1 0.0000 0.0000 0.0000 1
Dy2 0.2024 0.2024 0.0000 1
Dy3 0.4026 0.4026 0.0000 1
Dy4 0.5974 0.5974 0.0000 1
Dy5 0.7976 0.7976 0.0000 1
As1 0.5000 0.5000 0.0000 1
Se1 0.1013 0.1013 0.0000 1
Se2 0.3017 0.3017 0.0000 1
Se3 0.6983 0.6983 0.0000 1
Se4 0.8987 0.8987 0.0000 1

---

Record 8
# PBE-GGA Dy2AsSe, optimized geometry
# spin magnetization: 0.00 μB/f.u.
# E_form (uncorrected): -165 kJ/mol of atoms
# space-group type: R-3m (166)
data_Dy2AsSe
_cell_length_a 7.1283
_cell_length_b 7.1283
_cell_length_c 7.1283
_cell_angle_alpha 33.39
_cell_angle_beta 33.39
_cell_angle_gamma 33.39
_space_group_name_H-M_alt 'P 1'
_space_group_IT_number 1
loop_
_space_group_symop_operation_xyz
'x,y,z'
loop_
_atom_site_label
_atom_site_fract_x
_atom_site_fract_y
_atom_site_fract_z
_atom_site_occupancy
Dy1 0.2458 0.2458 0.2458 1
Dy2 0.7542 0.7542 0.7542 1
As1 0.5000 0.5000 0.5000 1
Se1 0.0000 0.0000 0.0000 1

---

Q: Look up the E_form (uncorrected) of the eighth one.
A: -165 kJ/mol of atoms

---

Please write out number 8 again, unchanged.
# PBE-GGA Dy2AsSe, optimized geometry
# spin magnetization: 0.00 μB/f.u.
# E_form (uncorrected): -165 kJ/mol of atoms
# space-group type: R-3m (166)
data_Dy2AsSe
_cell_length_a 7.1283
_cell_length_b 7.1283
_cell_length_c 7.1283
_cell_angle_alpha 33.39
_cell_angle_beta 33.39
_cell_angle_gamma 33.39
_space_group_name_H-M_alt 'P 1'
_space_group_IT_number 1
loop_
_space_group_symop_operation_xyz
'x,y,z'
loop_
_atom_site_label
_atom_site_fract_x
_atom_site_fract_y
_atom_site_fract_z
_atom_site_occupancy
Dy1 0.2458 0.2458 0.2458 1
Dy2 0.7542 0.7542 0.7542 1
As1 0.5000 0.5000 0.5000 1
Se1 0.0000 0.0000 0.0000 1

---

Q: Which formula does entry 3 have?
A: DyAsSe